Entry 1:
# GdNi2GeP | the Open Quantum Materials Database | GGA-PBE | relaxed
# E, eV per atom: -6.045
data_GdNi2GeP
_chemical_formula_sum 'Gd2 Ni4 Ge2 P2'
_cell_length_a 3.9828
_cell_length_b 3.9828
_cell_length_c 9.6595
_cell_angle_alpha 90.00
_cell_angle_beta 90.00
_cell_angle_gamma 90.00
_symmetry_space_group_name_H-M 'I 4 m m'
_symmetry_Int_Tables_number 107
_symmetry_space_group_name_Hall 'I 4 -2'
loop_
_atom_site_label
_atom_site_type_symbol
_atom_site_fract_x
_atom_site_fract_y
_atom_site_fract_z
_atom_site_occupancy
Gd1 Gd 0.0000 0.0000 0.0000 1
Ni1 Ni 0.0000 0.5000 0.2584 1
Ge1 Ge 0.0000 0.0000 0.6253 1
P1 P 0.0000 0.0000 0.3709 1

Entry 2:
# ZnCo2Sn | the Open Quantum Materials Database | GGA-PBE | relaxed
# E, eV per atom: -4.619
data_ZnCo2Sn
_chemical_formula_sum 'Zn4 Co8 Sn4'
_cell_length_a 6.0449
_cell_length_b 6.0449
_cell_length_c 6.0449
_cell_angle_alpha 90.00
_cell_angle_beta 90.00
_cell_angle_gamma 90.00
_symmetry_space_group_name_H-M 'F -4 3 m'
_symmetry_Int_Tables_number 216
_symmetry_space_group_name_Hall 'F -4 2 3'
loop_
_atom_site_label
_atom_site_type_symbol
_atom_site_fract_x
_atom_site_fract_y
_atom_site_fract_z
_atom_site_occupancy
Zn1 Zn 0.0000 0.0000 0.0000 1
Co1 Co 0.0000 0.0000 0.5000 1
Co2 Co 0.2500 0.2500 0.2500 1
Sn1 Sn 0.2500 0.2500 0.7500 1

Entry 3:
# CuRePdPb | the Open Quantum Materials Database | GGA-PBE | relaxed
# Excess energy over the best structure of this formula in the dataset, meV/atom: 0.0
data_CuRePdPb
_chemical_formula_sum 'Cu4 Re4 Pd4 Pb4'
_cell_length_a 6.4555
_cell_length_b 6.4555
_cell_length_c 6.4555
_cell_angle_alpha 90.00
_cell_angle_beta 90.00
_cell_angle_gamma 90.00
_symmetry_space_group_name_H-M 'F -4 3 m'
_symmetry_Int_Tables_number 216
_symmetry_space_group_name_Hall 'F -4 2 3'
loop_
_atom_site_label
_atom_site_type_symbol
_atom_site_fract_x
_atom_site_fract_y
_atom_site_fract_z
_atom_site_occupancy
Cu1 Cu 0.0000 0.0000 0.0000 1
Re1 Re 0.0000 0.0000 0.5000 1
Pd1 Pd 0.2500 0.2500 0.2500 1
Pb1 Pb 0.2500 0.2500 0.7500 1

Entry 4:
# TcOs | the Open Quantum Materials Database | GGA-PBE | relaxed
# Calculated formation energy, eV/atom: -0.08
# Excess energy over the best structure of this formula in the dataset, meV/atom: 8.8
data_TcOs
_chemical_formula_sum 'Tc1 Os1'
_cell_length_a 2.7513
_cell_length_b 2.7513
_cell_length_c 4.3678
_cell_angle_alpha 90.00
_cell_angle_beta 90.00
_cell_angle_gamma 120.00
_symmetry_space_group_name_H-M 'P -6 m 2'
_symmetry_Int_Tables_number 187
_symmetry_space_group_name_Hall 'P -6 2'
loop_
_atom_site_label
_atom_site_type_symbol
_atom_site_fract_x
_atom_site_fract_y
_atom_site_fract_z
_atom_site_occupancy
Tc1 Tc 0.0000 0.0000 0.0000 1
Os1 Os 0.3333 0.6667 0.5000 1